No. 1
Here is a relaxed structure of CeDyHoAg from the Alexandria database. Energies are from PBE-GGA.

Lattice parameters (Å, degrees): 5.2933 5.2933 5.2933 60.00 60.00 60.00
Element x y z (fractional)
1 Ce 0.0000 0.0000 0.0000
2 Dy 0.7500 0.7500 0.7500
3 Ho 0.2500 0.2500 0.2500
4 Ag 0.5000 0.5000 0.5000

Calculated values
* space-group type: F-43m (216)
* total energy: -0.3204 Ry per atom
* M_tot: 3.01 μB/cell


No. 2
Here is a relaxed structure of Ce2DyAgN from the Alexandria database. Energies are from PBE-GGA.

Lattice parameters (Å, degrees): 4.8682 4.8682 4.8280 90.00 90.00 90.00
Element x y z (fractional)
1 Ce 0.0000 0.5000 0.0000
2 Ce 0.5000 0.0000 0.0000
3 Dy 0.0000 0.0000 0.5000
4 Ag 0.5000 0.5000 0.5000
5 N 0.0000 0.0000 0.0000

Calculated values
* raw formation energy: -0.60 eV per atom
* space-group type: P4/mmm (123)
* total energy: -0.4506 Ry per atom
* M_tot: 1.54 μB/cell


No. 3
Here is a relaxed structure of CeNdDyAg from the Alexandria database. Energies are from PBE-GGA.

Lattice parameters (Å, degrees): 5.3572 5.3572 5.3572 60.00 60.00 60.00
Element x y z (fractional)
1 Ce 0.0000 0.0000 0.0000
2 Nd 0.7500 0.7500 0.7500
3 Dy 0.2500 0.2500 0.2500
4 Ag 0.5000 0.5000 0.5000

Calculated values
* space-group type: F-43m (216)
* total energy: -0.3238 Ry per atom
* M_tot: 2.83 μB/cell


No. 4
Here is a relaxed structure of CeDyNiAg from the Alexandria database. Energies are from PBE-GGA.

Lattice parameters (Å, degrees): 5.0323 5.0323 5.0323 60.00 60.00 60.00
Element x y z (fractional)
1 Ce 0.0000 0.0000 0.0000
2 Dy 0.5000 0.5000 0.5000
3 Ni 0.7500 0.7500 0.7500
4 Ag 0.2500 0.2500 0.2500

Calculated values
* space-group type: F-43m (216)
* total energy: -0.3656 Ry per atom
* M_tot: 0.71 μB/cell


No. 5
Here is a relaxed structure of CeDyAgPb from the Alexandria database. Energies are from PBE-GGA.

Lattice parameters (Å, degrees): 5.3683 5.3683 5.3683 60.00 60.00 60.00
Element x y z (fractional)
1 Ce 0.0000 0.0000 0.0000
2 Dy 0.5000 0.5000 0.5000
3 Ag 0.2500 0.2500 0.2500
4 Pb 0.7500 0.7500 0.7500

Calculated values
* space-group type: F-43m (216)
* total energy: -0.3367 Ry per atom
* M_tot: 2.01 μB/cell


No. 6
Here is a relaxed structure of CePmDyAg from the Alexandria database. Energies are from PBE-GGA.

Lattice parameters (Å, degrees): 5.3789 5.3789 5.3789 60.00 60.00 60.00
Element x y z (fractional)
1 Ce 0.0000 0.0000 0.0000
2 Pm 0.2500 0.2500 0.2500
3 Dy 0.5000 0.5000 0.5000
4 Ag 0.7500 0.7500 0.7500

Calculated values
* space-group type: F-43m (216)
* total energy: -0.3242 Ry per atom
* M_tot: 2.78 μB/cell


No. 7
Here is a relaxed structure of CePrDyAg from the Alexandria database. Energies are from PBE-GGA.

Lattice parameters (Å, degrees): 5.3723 5.3723 5.3723 60.00 60.00 60.00
Element x y z (fractional)
1 Ce 0.0000 0.0000 0.0000
2 Pr 0.7500 0.7500 0.7500
3 Dy 0.2500 0.2500 0.2500
4 Ag 0.5000 0.5000 0.5000

Calculated values
* space-group type: F-43m (216)
* total energy: -0.3239 Ry per atom
* M_tot: 2.79 μB/cell


No. 8
Here is a relaxed structure of CeDyAgRh from the Alexandria database. Energies are from PBE-GGA.

Lattice parameters (Å, degrees): 5.0415 5.0415 5.0415 60.00 60.00 60.00
Element x y z (fractional)
1 Ce 0.0000 0.0000 0.0000
2 Dy 0.5000 0.5000 0.5000
3 Ag 0.7500 0.7500 0.7500
4 Rh 0.2500 0.2500 0.2500

Calculated values
* space-group type: F-43m (216)
* total energy: -0.4133 Ry per atom
* M_tot: 0.60 μB/cell


No. 9
Here is a relaxed structure of Ce2DyAgS5 from the Alexandria database. Energies are from PBE-GGA.

Lattice parameters (Å, degrees): 8.5171 8.5171 12.1664 90.00 90.00 153.06
Element x y z (fractional)
1 Ce 0.1131 0.8869 0.5000
2 Ce 0.1261 0.8739 0.1196
3 Ce 0.8739 0.1261 0.6196
4 Ce 0.8869 0.1131 0.0000
5 Dy 0.1931 0.8069 0.8200
6 Dy 0.8069 0.1931 0.3200
7 Ag 0.4758 0.5242 0.2871
8 Ag 0.5242 0.4758 0.7871
9 S 0.0456 0.9544 0.9017
10 S 0.2900 0.7100 0.4784
11 S 0.3061 0.6939 0.1616
12 S 0.3565 0.6435 0.8169
13 S 0.4988 0.5012 0.5907
14 S 0.5012 0.4988 0.0907
15 S 0.6435 0.3565 0.3169
16 S 0.6939 0.3061 0.6616
17 S 0.7100 0.2900 0.9784
18 S 0.9544 0.0456 0.4017

Calculated values
* raw formation energy: -1.65 eV per atom
* space-group type: Cmc2_1 (36)
* total energy: -0.4479 Ry per atom
* M_tot: 3.85 μB/cell


No. 10
Here is a relaxed structure of CeDyAgS4 from the Alexandria database. Energies are from PBE-GGA.

Lattice parameters (Å, degrees): 8.0013 8.0013 8.0013 120.90 118.55 90.49
Element x y z (fractional)
1 Ce 0.0000 0.0000 0.0000
2 Ce 0.5000 0.0000 0.5000
3 Dy 0.5000 0.0000 0.0000
4 Dy 0.5000 0.5000 0.5000
5 Ag 0.1178 0.3678 0.7500
6 Ag 0.8822 0.6322 0.2500
7 S 0.2565 0.2400 0.4835
8 S 0.2565 0.7729 0.0165
9 S 0.2592 0.2415 0.0177
10 S 0.2762 0.7585 0.5177
11 S 0.7238 0.2415 0.4823
12 S 0.7408 0.7585 0.9823
13 S 0.7435 0.2271 0.9835
14 S 0.7435 0.7600 0.5165

Calculated values
* raw formation energy: -1.51 eV per atom
* space-group type: Imma (74)
* total energy: -0.4247 Ry per atom
* M_tot: 0.00 μB/cell


No. 11
Here is a relaxed structure of CeDyAgSb from the Alexandria database. Energies are from PBE-GGA.

Lattice parameters (Å, degrees): 5.2995 5.2995 5.2995 60.00 60.00 60.00
Element x y z (fractional)
1 Ce 0.0000 0.0000 0.0000
2 Dy 0.5000 0.5000 0.5000
3 Ag 0.7500 0.7500 0.7500
4 Sb 0.2500 0.2500 0.2500

Calculated values
* raw formation energy: -0.51 eV per atom
* space-group type: F-43m (216)
* total energy: -0.3589 Ry per atom
* M_tot: 2.07 μB/cell


No. 12
Here is a relaxed structure of CeDyAgSn from the Alexandria database. Energies are from PBE-GGA.

Lattice parameters (Å, degrees): 5.3157 5.3157 5.3157 60.00 60.00 60.00
Element x y z (fractional)
1 Ce 0.0000 0.0000 0.0000
2 Dy 0.5000 0.5000 0.5000
3 Ag 0.2500 0.2500 0.2500
4 Sn 0.7500 0.7500 0.7500

Calculated values
* space-group type: F-43m (216)
* total energy: -0.3503 Ry per atom
* M_tot: 1.82 μB/cell


No. 13
Here is a relaxed structure of CeDyTcAg from the Alexandria database. Energies are from PBE-GGA.

Lattice parameters (Å, degrees): 5.0111 5.0111 5.0111 60.00 60.00 60.00
Element x y z (fractional)
1 Ce 0.0000 0.0000 0.0000
2 Dy 0.5000 0.5000 0.5000
3 Tc 0.7500 0.7500 0.7500
4 Ag 0.2500 0.2500 0.2500

Calculated values
* space-group type: F-43m (216)
* total energy: -0.4415 Ry per atom
* M_tot: 0.37 μB/cell


No. 14
Here is a relaxed structure of CeDyThAg from the Alexandria database. Energies are from PBE-GGA.

Lattice parameters (Å, degrees): 5.2761 5.2761 5.2761 60.00 60.00 60.00
Element x y z (fractional)
1 Ce 0.0000 0.0000 0.0000
2 Dy 0.7500 0.7500 0.7500
3 Th 0.2500 0.2500 0.2500
4 Ag 0.5000 0.5000 0.5000

Calculated values
* space-group type: F-43m (216)
* total energy: -0.3733 Ry per atom
* M_tot: 0.00 μB/cell